## A
{"formula": "RbTeMoI2", "functional": "GGA-PBE", "state": "relaxed", "lattice": [[5.948, 0.000, 0.000], [0.000, 5.948, 0.000], [0.000, 0.000, 5.335]], "species": ["Rb", "Te", "Mo", "I", "I"], "fractional_positions": [[0.000, 0.000, 0.000], [0.500, 0.500, 0.000], [0.500, 0.500, 0.500], [0.000, 0.500, 0.500], [0.500, 0.000, 0.500]], "magnetic_moment_mub_per_cell": 2.8}

=====

## B
{"formula": "RbTeMoI2", "functional": "GGA-PBE", "state": "relaxed", "lattice": [[6.659, 0.000, 0.000], [0.000, 6.659, 0.000], [0.000, 0.000, 6.566]], "species": ["Rb", "Te", "Mo", "I", "I"], "fractional_positions": [[0.000, 0.000, 0.000], [0.000, 0.000, 0.500], [0.500, 0.500, 0.500], [0.000, 0.500, 0.000], [0.500, 0.000, 0.000]], "magnetic_moment_mub_per_cell": 3.0}

=====

Taking the most stable structure as the zero point, the relative energies in meV per atom are A 0; B 1368.

=====

## A
{"formula": "Rb2TlMoI6", "functional": "GGA-PBE", "state": "relaxed", "lattice": [[0.000, 6.144, 6.144], [6.144, 0.000, 6.144], [6.144, 6.144, 0.000]], "species": ["Rb", "Rb", "Tl", "Mo", "I", "I", "I", "I", "I", "I"], "fractional_positions": [[0.250, 0.250, 0.250], [0.750, 0.750, 0.750], [0.000, 0.000, 0.000], [0.500, 0.500, 0.500], [0.271, 0.271, 0.729], [0.271, 0.729, 0.271], [0.271, 0.729, 0.729], [0.729, 0.271, 0.271], [0.729, 0.271, 0.729], [0.729, 0.729, 0.271]], "magnetic_moment_mub_per_cell": 3.0}

=====

## B
{"formula": "Rb2TlMoI6", "functional": "GGA-PBE", "state": "relaxed", "lattice": [[8.322, 0.000, 0.000], [0.000, 12.307, 0.000], [0.000, 0.000, 9.323]], "species": ["Rb", "Rb", "Rb", "Rb", "Tl", "Tl", "Mo", "Mo", "I", "I", "I", "I", "I", "I", "I", "I", "I", "I", "I", "I"], "fractional_positions": [[0.250, 0.039, 0.191], [0.250, 0.461, 0.191], [0.750, 0.539, 0.809], [0.750, 0.961, 0.809], [0.250, 0.250, 0.700], [0.750, 0.750, 0.300], [0.250, 0.750, 0.792], [0.750, 0.250, 0.208], [0.006, 0.750, 0.583], [0.015, 0.750, 0.012], [0.250, 0.520, 0.792], [0.250, 0.980, 0.792], [0.485, 0.750, 0.012], [0.494, 0.750, 0.583], [0.506, 0.250, 0.417], [0.515, 0.250, 0.988], [0.750, 0.020, 0.208], [0.750, 0.480, 0.208], [0.985, 0.250, 0.988], [0.994, 0.250, 0.417]], "magnetic_moment_mub_per_cell": 6.0}

=====

Taking the most stable structure as the zero point, the relative energies in meV per atom are A 8; B 0.

=====

## A
{"formula": "ReSb2MoI", "functional": "GGA-PBE", "state": "relaxed", "lattice": [[5.079, 0.000, 0.000], [0.000, 5.079, 0.000], [0.000, 0.000, 5.873]], "species": ["Re", "Sb", "Sb", "Mo", "I"], "fractional_positions": [[0.000, 0.000, 0.000], [0.000, 0.500, 0.000], [0.500, 0.000, 0.000], [0.500, 0.500, 0.500], [0.000, 0.000, 0.500]], "magnetic_moment_mub_per_cell": 4.7}

=====

## B
{"formula": "ReSb2MoI", "functional": "GGA-PBE", "state": "relaxed", "lattice": [[5.143, 0.000, 0.000], [0.000, 5.143, 0.000], [0.000, 0.000, 5.252]], "species": ["Re", "Sb", "Sb", "Mo", "I"], "fractional_positions": [[0.000, 0.000, 0.000], [0.000, 0.500, 0.000], [0.500, 0.000, 0.000], [0.000, 0.000, 0.500], [0.500, 0.500, 0.500]], "magnetic_moment_mub_per_cell": 3.1}

=====

Taking the most stable structure as the zero point, the relative energies in meV per atom are A 389; B 0.

=====

## A
{"formula": "Mo2RhI", "functional": "GGA-PBE", "state": "relaxed", "lattice": [[-2.917, 2.917, 5.865], [2.917, -2.917, 5.865], [2.917, 2.917, -5.865]], "species": ["Mo", "Mo", "Mo", "Mo", "Rh", "Rh", "I", "I"], "fractional_positions": [[0.084, 0.625, 0.959], [0.375, 0.334, 0.459], [0.666, 0.125, 0.041], [0.875, 0.916, 0.541], [0.000, 0.000, 0.000], [0.750, 0.250, 0.500], [0.250, 0.750, 0.500], [0.500, 0.500, 0.000]], "magnetic_moment_mub_per_cell": 0.0}

=====

## B
{"formula": "Mo2RhI", "functional": "GGA-PBE", "state": "relaxed", "lattice": [[0.000, 3.222, 3.222], [3.222, 0.000, 3.222], [3.222, 3.222, 0.000]], "species": ["Mo", "Mo", "Rh", "I"], "fractional_positions": [[0.250, 0.250, 0.250], [0.750, 0.750, 0.750], [0.000, 0.000, 0.000], [0.500, 0.500, 0.500]], "magnetic_moment_mub_per_cell": 0.0}

=====

Taking the most stable structure as the zero point, the relative energies in meV per atom are A 526; B 0.